Entry from Alexandria via LeMat-Bulk: a relaxed structure of BeAu2Se (PBE-GGA).

## Properties
For the polymorph energy (0 for the lowest one), the calculation gives 75 meV per atom. The value obtained for the volume is 17.70 Å³/atom.

Lattice parameters (Å, degrees): 2.8158 4.2610 11.8021 90.00 90.00 90.00
Space group Imm2 (No. 44)
Unique sites:
1 Be 0.0000 0.0000 0.0000 x2
2 Au 0.0000 0.0000 0.4824 x2
3 Au 0.0000 0.5000 0.3238 x2
4 Se 0.0000 0.5000 0.6655 x2